[1]
## CsCd6Hg6 (PBE)

Data for a geometry-optimized CsCd6Hg6 structure.

Computed properties:
Calculated density: 9.38 g/cm³
Density of states at the Fermi level: 2.90 states/eV/cell
Distance to the lowest polymorph of the same formula: 4.1 meV per atom
V: 27.37 Å³/atom
Formation energy from the elements: -0.0474 eV/atom

abc: 6.258 6.258 10.490
angles: 90.00 90.00 119.99
Fractional coordinates of all 13 atoms:
Cs: 0.000 0.000 0.000
Cd: 0.500 0.000 0.257
Cd: 0.000 0.500 0.257
Cd: 0.500 0.500 0.257
Cd: 0.000 0.500 0.743
Cd: 0.500 0.000 0.743
Cd: 0.500 0.500 0.743
Hg: 0.000 0.000 0.357
Hg: 0.000 0.000 0.643
Hg: 0.667 0.333 0.000
Hg: 0.333 0.667 0.000
Hg: 0.666 0.334 0.500
Hg: 0.334 0.666 0.500

***

[2]
## AlCu2Re (PBE)

Data for a geometry-optimized AlCu2Re structure.

Computed properties:
Calculated density: 10.52 g/cm³
Density of states at the Fermi level: 1.21 states/eV/cell
V: 13.42 Å³/atom
Formation energy from the elements: 0.0566 eV/atom

abc: 4.695 4.695 2.652
angles: 90.00 90.00 113.29
Fractional coordinates of all 4 atoms:
Re: 0.500 0.000 0.500
Al: 0.000 0.500 0.500
Cu: 0.000 0.000 0.000
Cu: 0.500 0.500 0.000

***

[3]
## CePuZnRe (PBE)

Data for a geometry-optimized CePuZnRe structure.

Computed properties:
Calculated density: 12.44 g/cm³
Density of states at the Fermi level: 10.18 states/eV/cell
V: 21.22 Å³/atom
Formation energy from the elements: 0.0887 eV/atom

abc: 4.933 4.933 4.933
angles: 60.00 60.00 60.00
Site moments in Bohr magnetons follow the coordinates.
Fractional coordinates of all 4 atoms:
Re: 0.750 0.750 0.750  0.46
Zn: 0.250 0.250 0.250  -0.03
Ce: 0.000 0.000 0.000  -0.31
Pu: 0.500 0.500 0.500  -5.09